Record 1
Here is an optimized crystal structure of TcCl3 from Alexandria via LeMat-Bulk. Energies are from GGA-PBE. Values from VASP.

```
&SYSTEM
  ibrav = 0, nat = 8, ntyp = 2
/
ATOMIC_SPECIES
Tc 98.00 Tc.upf
Cl 35.45 Cl.upf
ATOMIC_POSITIONS angstrom
Tc 0.000 0.000 0.000
Tc 0.000 3.448 2.129
Cl 5.173 0.992 -1.065
Cl 3.448 0.000 2.129
Cl 0.992 1.724 1.065
Cl 0.000 0.000 4.258
Cl -1.724 2.457 3.194
Cl 2.457 1.724 5.323
CELL_PARAMETERS angstrom
-3.448 3.448 4.258
3.448 -3.448 4.258
3.448 3.448 -4.258
```

Final energy = -30.96 eV for the cell shown
Excess energy over the best structure of this formula in the dataset = 819 meV per atom
Symmetry = No. 122
Formation energy (no corrections) = 0.11 eV/atom
Density = 3.4 Mg/m³

Record 2
Here is an optimized crystal structure of CeAg2Se3 from Alexandria via LeMat-Bulk. Energies are from GGA-PBE. Values from VASP.

```
&SYSTEM
  ibrav = 0, nat = 12, ntyp = 3
/
ATOMIC_SPECIES
Ce 140.12 Ce.upf
Ag 107.87 Ag.upf
Se 78.96 Se.upf
ATOMIC_POSITIONS angstrom
Ce 4.399 3.385 3.932
Ce 4.399 -3.385 1.311
Ag 1.917 0.000 0.000
Ag 1.917 0.000 2.621
Ag 6.881 0.000 0.000
Ag 6.881 0.000 2.621
Se 4.399 4.993 1.311
Se 2.761 2.152 1.311
Se 2.761 -2.152 3.932
Se 6.036 2.152 1.311
Se 6.036 -2.152 3.932
Se 4.399 -4.993 3.932
CELL_PARAMETERS angstrom
4.399 -6.575 0.000
4.399 6.575 0.000
0.000 0.000 5.242
```

Final energy = -52.02 eV for the cell shown
Excess energy over the best structure of this formula in the dataset = 168 meV per atom
Symmetry = No. 63
Formation energy (no corrections) = -0.65 eV/atom
Density = 6.5 Mg/m³

Record 3
Here is an optimized crystal structure of KYCo3 from Alexandria via LeMat-Bulk. Energies are from GGA-PBE. Values from VASP.

```
&SYSTEM
  ibrav = 0, nat = 5, ntyp = 3
/
ATOMIC_SPECIES
K 39.10 K.upf
Y 88.91 Y.upf
Co 58.93 Co.upf
ATOMIC_POSITIONS angstrom
K 0.000 0.000 0.000
Y 2.571 2.571 2.571
Co 0.000 2.571 2.571
Co 2.571 0.000 2.571
Co 2.571 2.571 0.000
CELL_PARAMETERS angstrom
5.142 0.000 0.000
0.000 5.142 0.000
0.000 0.000 5.142
```

Final energy = -21.45 eV for the cell shown
DFT formation energy = 1.486 eV/atom
Excess energy over the best structure of this formula in the dataset = 0 meV per atom
Symmetry = No. 221
Density = 3.7 Mg/m³

Record 4
Here is an optimized crystal structure of Ba2CaW from Alexandria via LeMat-Bulk. Energies are from GGA-PBE. Values from VASP.

```
&SYSTEM
  ibrav = 0, nat = 4, ntyp = 3
/
ATOMIC_SPECIES
Ba 137.33 Ba.upf
Ca 40.08 Ca.upf
W 183.84 W.upf
ATOMIC_POSITIONS angstrom
Ba 0.000 0.000 0.000
Ba 1.753 1.753 3.885
Ca 0.000 0.000 7.416
W 1.753 1.753 9.416
CELL_PARAMETERS angstrom
3.506 0.000 0.000
0.000 3.506 0.000
0.000 0.000 11.765
```

Final energy = -14.79 eV for the cell shown
DFT formation energy = 1.002 eV/atom
Excess energy over the best structure of this formula in the dataset = 16 meV per atom
Symmetry = No. 99
Density = 5.7 Mg/m³

Record 5
Here is an optimized crystal structure of Na2GaSiAu6 from Alexandria via LeMat-Bulk. Energies are from GGA-PBE. Values from VASP.

```
&SYSTEM
  ibrav = 0, nat = 20, ntyp = 4
/
ATOMIC_SPECIES
Na 22.99 Na.upf
Ga 69.72 Ga.upf
Si 28.09 Si.upf
Au 196.97 Au.upf
ATOMIC_POSITIONS angstrom
Na 1.427 0.080 1.939
Na 1.427 4.386 1.939
Na 4.281 4.546 6.708
Na 4.281 8.852 6.708
Ga 1.427 6.699 6.698
Ga 4.281 2.233 1.949
Si 1.427 2.233 6.476
Si 4.281 6.699 2.172
Au 5.707 2.233 4.243
Au 0.001 6.699 4.405
Au 0.023 6.699 0.209
Au 1.427 0.025 5.419
Au 1.427 4.441 5.419
Au 2.831 6.699 0.209
Au 2.855 2.233 4.243
Au 2.853 6.699 4.405
Au 2.877 2.233 8.439
Au 4.281 4.491 3.228
Au 4.281 8.907 3.228
Au 5.685 2.233 8.439
CELL_PARAMETERS angstrom
5.708 0.000 0.000
0.000 8.932 0.000
0.000 0.000 8.647
```

Final energy = -66.04 eV for the cell shown
Symmetry = No. 59
Formation energy (no corrections) = -0.23 eV/atom
Density = 10.0 Mg/m³

Record 6
Here is an optimized crystal structure of Cs2LaTaCl6 from Alexandria via LeMat-Bulk. Energies are from GGA-PBE. Values from VASP.

```
&SYSTEM
  ibrav = 0, nat = 10, ntyp = 4
/
ATOMIC_SPECIES
Cs 132.91 Cs.upf
La 138.91 La.upf
Ta 180.95 Ta.upf
Cl 35.45 Cl.upf
ATOMIC_POSITIONS angstrom
Cs 2.674 2.674 2.674
Cs 8.023 8.023 8.023
La 0.000 0.000 0.000
Ta 5.349 5.349 5.349
Cl 5.349 5.349 2.824
Cl 5.349 2.824 5.349
Cl 7.874 5.349 5.349
Cl 2.824 5.349 5.349
Cl 5.349 7.874 5.349
Cl 5.349 5.349 7.874
CELL_PARAMETERS angstrom
0.000 5.349 5.349
5.349 0.000 5.349
5.349 5.349 0.000
```

Final energy = -44.80 eV for the cell shown
Symmetry = No. 225
Formation energy (no corrections) = -1.52 eV/atom
Density = 4.3 Mg/m³

Record 7
Here is an optimized crystal structure of CrHgAs2 from Alexandria via LeMat-Bulk. Energies are from GGA-PBE. Values from VASP.

```
&SYSTEM
  ibrav = 0, nat = 4, ntyp = 3
/
ATOMIC_SPECIES
Cr 52.00 Cr.upf
Hg 200.59 Hg.upf
As 74.92 As.upf
ATOMIC_POSITIONS angstrom
Cr 0.000 0.000 0.000
Hg 1.772 1.772 3.058
As 0.000 0.000 4.451
As 1.772 1.772 0.405
CELL_PARAMETERS angstrom
3.545 0.000 0.000
0.000 3.545 0.000
0.000 0.000 6.883
```

Final energy = -18.36 eV for the cell shown
DFT formation energy = 0.217 eV/atom
Symmetry = No. 99
Density = 7.7 Mg/m³

Record 8
Here is an optimized crystal structure of CrAg2SbN from Alexandria via LeMat-Bulk. Energies are from GGA-PBE. Values from VASP.

```
&SYSTEM
  ibrav = 0, nat = 5, ntyp = 4
/
ATOMIC_SPECIES
Cr 52.00 Cr.upf
Ag 107.87 Ag.upf
Sb 121.76 Sb.upf
N 14.01 N.upf
ATOMIC_POSITIONS angstrom
Cr 0.000 0.000 0.000
Ag 0.000 2.654 2.054
Ag 2.654 0.000 2.054
Sb 2.654 2.654 2.054
N 2.654 2.654 0.000
CELL_PARAMETERS angstrom
5.309 0.000 0.000
0.000 5.309 0.000
0.000 0.000 4.108
```

Final energy = -21.48 eV for the cell shown
Symmetry = No. 123
Formation energy (no corrections) = 1.26 eV/atom
Density = 5.8 Mg/m³

Record 9
Here is an optimized crystal structure of TlZnHg from Alexandria via LeMat-Bulk. Energies are from GGA-PBE. Values from VASP.

```
&SYSTEM
  ibrav = 0, nat = 6, ntyp = 3
/
ATOMIC_SPECIES
Tl 204.38 Tl.upf
Zn 65.41 Zn.upf
Hg 200.59 Hg.upf
ATOMIC_POSITIONS angstrom
Tl 0.000 0.000 0.000
Tl 0.136 1.960 5.105
Zn 0.074 4.871 3.691
Zn 2.301 3.539 3.130
Hg 0.085 2.845 1.492
Hg 2.293 0.741 2.570
CELL_PARAMETERS angstrom
4.428 0.000 0.000
-0.010 5.625 0.000
-2.109 -0.850 6.025
```

Final energy = -7.47 eV for the cell shown
DFT formation energy = 0.069 eV/atom
Excess energy over the best structure of this formula in the dataset = 9 meV per atom
Symmetry = No. 1
Density = 10.4 Mg/m³

Record 10
Here is an optimized crystal structure of TbDy5Y from Alexandria via LeMat-Bulk. Energies are from GGA-PBE. Values from VASP.

```
&SYSTEM
  ibrav = 0, nat = 14, ntyp = 3
/
ATOMIC_SPECIES
Tb 158.93 Tb.upf
Dy 162.50 Dy.upf
Y 88.91 Y.upf
ATOMIC_POSITIONS angstrom
Tb 2.687 3.176 8.577
Tb 4.793 -3.176 2.859
Dy 0.109 0.921 8.617
Dy 2.819 1.581 5.707
Dy 6.766 1.581 0.011
Dy 4.793 0.562 2.859
Dy 2.216 -0.921 2.899
Dy 5.264 0.921 8.537
Dy 2.687 -0.562 8.577
Dy 0.713 -1.581 11.425
Dy 4.660 -1.581 5.729
Dy 7.370 -0.921 2.819
Y 2.923 1.680 0.000
Y 0.817 -1.680 5.718
CELL_PARAMETERS angstrom
5.846 -3.360 0.000
5.846 3.360 0.000
-4.212 0.000 11.436
```

Final energy = -65.61 eV for the cell shown
DFT formation energy = 0.185 eV/atom
Excess energy over the best structure of this formula in the dataset = 0 meV per atom
Symmetry = No. 15
Density = 7.8 Mg/m³

Record 11
Here is an optimized crystal structure of Ti3Be8Os from Alexandria via LeMat-Bulk. Energies are from GGA-PBE. Values from VASP.

```
&SYSTEM
  ibrav = 0, nat = 12, ntyp = 3
/
ATOMIC_SPECIES
Ti 47.87 Ti.upf
Be 9.01 Be.upf
Os 190.23 Os.upf
ATOMIC_POSITIONS angstrom
Ti 0.000 0.000 0.000
Ti 0.000 0.000 2.735
Ti 0.000 2.572 6.335
Be -1.094 1.941 1.397
Be 1.102 0.636 4.962
Be 1.094 1.941 1.397
Be 0.000 3.836 1.397
Be 2.228 1.286 3.184
Be 2.228 1.286 6.850
Be 3.354 0.636 4.962
Be 2.228 2.587 4.962
Os 0.000 2.572 3.659
CELL_PARAMETERS angstrom
4.456 0.000 0.000
-2.228 3.859 0.000
0.000 0.000 7.327
```

Final energy = -68.89 eV for the cell shown
DFT formation energy = -0.347 eV/atom
Symmetry = No. 156
Density = 5.4 Mg/m³